{"formula": "Nb3HgRh", "functional": "SCAN", "state": "single point on PBEsol structure", "delta_e_f_kj_per_mol_atoms": 207, "space_group": "Pm-3m (221)", "e_tot_ev_per_fu": -190.58, "relative_energy_kj_per_mol_atoms": 122.3, "magnetic_moment_mub_per_atom": 0.538, "lattice": [[4.9168, 0.0000, 0.0000], [0.0000, 4.9168, 0.0000], [0.0000, 0.0000, 4.9168]], "species": ["Nb", "Nb", "Nb", "Hg", "Rh"], "fractional_positions": [[0.0000, 0.0000, 0.5000], [0.0000, 0.5000, 0.0000], [0.5000, 0.0000, 0.0000], [0.0000, 0.0000, 0.0000], [0.5000, 0.5000, 0.5000]]}

{"formula": "Nb2HgRh2", "functional": "SCAN", "state": "single point on PBEsol structure", "delta_e_f_kj_per_mol_atoms": -31, "space_group": "P4/mbm (127)", "e_tot_ev_per_fu": -203.56, "relative_energy_kj_per_mol_atoms": 0.0, "magnetic_moment_mub_per_atom": 0.000, "lattice": [[7.5917, 0.0000, 0.0000], [0.0000, 7.5917, 0.0000], [0.0000, 0.0000, 2.9020]], "species": ["Nb", "Nb", "Nb", "Nb", "Hg", "Hg", "Rh", "Rh", "Rh", "Rh"], "fractional_positions": [[0.1657, 0.3343, 0.0000], [0.3343, 0.8343, 0.0000], [0.6657, 0.1657, 0.0000], [0.8343, 0.6657, 0.0000], [0.0000, 0.0000, 0.5000], [0.5000, 0.5000, 0.5000], [0.1282, 0.6282, 0.5000], [0.3718, 0.1282, 0.5000], [0.6282, 0.8718, 0.5000], [0.8718, 0.3718, 0.5000]]}